[1]
Crystalline ZrBr at its relaxed geometry. Source: the Alexandria database, functional PBE.

a = 7.454 Å, b = 7.454 Å, c = 7.454 Å
α = 90.00°, β = 90.00°, γ = 90.00°
Space group Pm-3n (No. 223)
Unique sites:
Zr  0.000  0.250  0.500 (multiplicity 6)
Br  0.000  0.500  0.250 (multiplicity 6)

Calculated values
Size of the total moment   0.00 μB per formula unit
Energy relative to the elements, uncorrected   413 meV/atom

***

[2]
Crystalline ZrBr at its relaxed geometry. Source: the Alexandria database, functional PBE.

a = 3.377 Å, b = 12.031 Å, c = 6.794 Å
α = 90.00°, β = 90.00°, γ = 90.00°
Space group Amm2 (No. 38)
Unique sites:
Zr  0.000  0.000  0.000 (multiplicity 2)
Zr  0.500  0.235  0.624 (multiplicity 4)
Br  0.000  0.135  0.333 (multiplicity 4)
Br  0.500  0.000  0.690 (multiplicity 2)

Calculated values
Size of the total moment   0.00 μB per formula unit
Energy relative to the elements, uncorrected   -420 meV/atom

***

[3]
Crystalline ZrBr at its relaxed geometry. Source: the Alexandria database, functional PBE.

a = 3.193 Å, b = 6.211 Å, c = 4.691 Å
α = 90.00°, β = 90.00°, γ = 90.00°
Space group Cmmm (No. 65)
Unique sites:
Zr  0.000  0.000  0.000 (multiplicity 2)
Br  0.000  0.500  0.500 (multiplicity 2)

Calculated values
Size of the total moment   0.00 μB per formula unit
Energy relative to the elements, uncorrected   -299 meV/atom

***

The evaluated uncorrected energy for the records listed, in turn: -9.40; -11.06; -10.82 eV/f.u..